No. 1
WNCl2 after structural relaxation. Source: Alexandria via LeMat-Bulk, functional PBE.

Summary:
Magnetization, μB/cell: 4.00
Energy above the lowest structure with this stoichiometry, meV/atom: 0
Theoretical density, g/cm³: 5.57
DFT total energy, eV per atom: -6.40
Formation energy (no corrections), eV per atom: -0.1530

The structure in CIF format:
```
data_WNCl2
_chemical_formula_sum 'W4 N4 Cl8'
_cell_length_a 9.1365
_cell_length_b 9.1365
_cell_length_c 3.8413
_cell_angle_alpha 90.00
_cell_angle_beta 90.00
_cell_angle_gamma 90.00
_space_group_name_H-M_alt 'I -4 2 d'
_space_group_IT_number 122
_space_group_name_Hall 'I -4 2bw'
loop_
_atom_site_label
_atom_site_fract_x
_atom_site_fract_y
_atom_site_fract_z
W1 0.0000 0.0000 0.0000
N1 0.0000 0.0000 0.5000
Cl1 0.0963 0.2500 0.1250
```

No. 2
BeTcIr2 after structural relaxation. Source: Alexandria via LeMat-Bulk, functional PBE.

Summary:
ΔH_f (0 K), meV per atom: 42
Magnetization, μB/cell: 0.00
Theoretical density, g/cm³: 15.18
DFT total energy, eV per atom: -7.91

The structure in CIF format:
```
data_BeTcIr2
_chemical_formula_sum 'Be2 Tc2 Ir4'
_cell_length_a 2.7765
_cell_length_b 4.6157
_cell_length_c 8.3915
_cell_angle_alpha 90.00
_cell_angle_beta 90.00
_cell_angle_gamma 90.00
_space_group_name_H-M_alt 'C m m m'
_space_group_IT_number 65
_space_group_name_Hall '-C 2 2'
loop_
_atom_site_label
_atom_site_fract_x
_atom_site_fract_y
_atom_site_fract_z
Be1 0.0000 0.0000 0.0000
Tc1 0.0000 0.0000 0.5000
Ir1 0.0000 0.5000 0.2207
```

No. 3
TiTePt2Au after structural relaxation. Source: Alexandria via LeMat-Bulk, functional PBE.

Summary:
Magnetization, μB/cell: 0.00
Theoretical density, g/cm³: 10.67
DFT total energy, eV per atom: -4.47
Formation energy (no corrections), eV per atom: 0.8096

The structure in CIF format:
```
data_TiTePt2Au
_chemical_formula_sum 'Ti1 Te1 Pt2 Au1'
_cell_length_a 5.0228
_cell_length_b 5.0228
_cell_length_c 4.7037
_cell_angle_alpha 90.00
_cell_angle_beta 90.00
_cell_angle_gamma 90.00
_space_group_name_H-M_alt 'P 4/m m m'
_space_group_IT_number 123
_space_group_name_Hall '-P 4 2'
loop_
_atom_site_label
_atom_site_fract_x
_atom_site_fract_y
_atom_site_fract_z
Ti1 0.0000 0.0000 0.0000
Te1 0.5000 0.5000 0.0000
Pt1 0.0000 0.5000 0.5000
Au1 0.0000 0.0000 0.5000
```

No. 4
BeTl2Au after structural relaxation. Source: Alexandria via LeMat-Bulk, functional PBE.

Summary:
ΔH_f (0 K), meV per atom: 93
Magnetization, μB/cell: 0.00
Energy above the lowest structure with this stoichiometry, meV/atom: 0
Theoretical density, g/cm³: 10.93
DFT total energy, eV per atom: -2.84

The structure in CIF format:
```
data_BeTl2Au
_chemical_formula_sum 'Be1 Tl2 Au1'
_cell_length_a 3.2486
_cell_length_b 3.2486
_cell_length_c 8.8518
_cell_angle_alpha 90.00
_cell_angle_beta 90.00
_cell_angle_gamma 90.00
_space_group_name_H-M_alt 'P 4 m m'
_space_group_IT_number 99
loop_
_space_group_symop_operation_xyz
'x,y,z'
'-y,x,z'
'-x,-y,z'
'y,-x,z'
'-x,y,z'
'y,x,z'
'x,-y,z'
'-y,-x,z'
loop_
_atom_site_label
_atom_site_fract_x
_atom_site_fract_y
_atom_site_fract_z
Be1 0.0000 0.0000 0.0000
Tl1 0.0000 0.0000 0.6504
Tl2 0.5000 0.5000 0.2877
Au1 0.5000 0.5000 0.9359
```

No. 5
In2SiSb after structural relaxation. Source: Alexandria via LeMat-Bulk, functional PBE.

Summary:
Magnetization, μB/cell: 0.00
Energy above the lowest structure with this stoichiometry, meV/atom: 0
Theoretical density, g/cm³: 5.99
DFT total energy, eV per atom: -3.59
Formation energy (no corrections), eV per atom: 0.1638

The structure in CIF format:
```
data_In2SiSb
_chemical_formula_sum 'In6 Si3 Sb3'
_cell_length_a 4.0091
_cell_length_b 4.0091
_cell_length_c 22.6567
_cell_angle_alpha 90.00
_cell_angle_beta 90.00
_cell_angle_gamma 120.00
_space_group_name_H-M_alt 'R 3 m'
_space_group_IT_number 160
_space_group_name_Hall 'R 3 -2"'
loop_
_atom_site_label
_atom_site_fract_x
_atom_site_fract_y
_atom_site_fract_z
In1 0.0000 0.0000 0.0000
In2 0.0000 0.0000 0.2367
Si1 0.0000 0.0000 0.7433
Sb1 0.0000 0.0000 0.4732
```

No. 6
Li2LaTcN4 after structural relaxation. Source: Alexandria via LeMat-Bulk, functional PBE.

Summary:
Magnetization, μB/cell: 0.00
Theoretical density, g/cm³: 4.82
DFT total energy, eV per atom: -7.24
Formation energy (no corrections), eV per atom: -0.6829

The structure in CIF format:
```
data_Li2LaTcN4
_chemical_formula_sum 'Li4 La2 Tc2 N8'
_cell_length_a 7.7204
_cell_length_b 5.2538
_cell_length_c 5.2134
_cell_angle_alpha 90.00
_cell_angle_beta 90.00
_cell_angle_gamma 90.00
_space_group_name_H-M_alt 'P m n 21'
_space_group_IT_number 31
loop_
_space_group_symop_operation_xyz
'x,y,z'
'-x+1/2,-y,z+1/2'
'-x,y,z'
'x+1/2,-y,z+1/2'
loop_
_atom_site_label
_atom_site_fract_x
_atom_site_fract_y
_atom_site_fract_z
Li1 0.2474 0.2082 0.0000
La1 0.0000 0.2326 0.4932
Tc1 0.0000 0.6978 0.0132
N1 0.0000 0.3533 0.9617
N2 0.0000 0.7311 0.3619
N3 0.1953 0.8393 0.8789
```

No. 7
Y3CoC3 after structural relaxation. Source: Alexandria via LeMat-Bulk, functional PBE.

Summary:
ΔH_f (0 K), meV per atom: -201
Magnetization, μB/cell: 0.00
Theoretical density, g/cm³: 5.43
DFT total energy, eV per atom: -7.94

The structure in CIF format:
```
data_Y3CoC3
_chemical_formula_sum 'Y12 Co4 C12'
_cell_length_a 8.4859
_cell_length_b 10.2817
_cell_length_c 5.0696
_cell_angle_alpha 90.00
_cell_angle_beta 90.00
_cell_angle_gamma 90.00
_space_group_name_H-M_alt 'C m c m'
_space_group_IT_number 63
_space_group_name_Hall '-C 2c 2'
loop_
_atom_site_label
_atom_site_fract_x
_atom_site_fract_y
_atom_site_fract_z
Y1 0.0000 0.1070 0.2500
Y2 0.2142 0.3777 0.2500
Co1 0.0000 0.3015 0.7500
C1 0.0000 0.1236 0.7500
C2 0.2005 0.3687 0.7500
```

No. 8
PmDyZnRh after structural relaxation. Source: Alexandria via LeMat-Bulk, functional PBE.

Summary:
ΔH_f (0 K), meV per atom: -566
Magnetization, μB/cell: 0.00
Energy above the lowest structure with this stoichiometry, meV/atom: 0
Theoretical density, g/cm³: 8.53
DFT total energy, eV per atom: -5.06

The structure in CIF format:
```
data_PmDyZnRh
_chemical_formula_sum 'Pm2 Dy2 Zn2 Rh2'
_cell_length_a 4.4069
_cell_length_b 3.9220
_cell_length_c 10.7192
_cell_angle_alpha 90.00
_cell_angle_beta 90.00
_cell_angle_gamma 90.00
_space_group_name_H-M_alt 'A m m 2'
_space_group_IT_number 38
loop_
_space_group_symop_operation_xyz
'x,y,z'
'-x,-y,z'
'-x,y,z'
'x,-y,z'
'x,y+1/2,z+1/2'
'-x,-y+1/2,z+1/2'
'-x,y+1/2,z+1/2'
'x,-y+1/2,z+1/2'
loop_
_atom_site_label
_atom_site_fract_x
_atom_site_fract_y
_atom_site_fract_z
Pm1 0.0000 0.0000 0.0000
Dy1 0.5000 0.0000 0.2797
Zn1 0.5000 0.0000 0.5717
Rh1 0.0000 0.0000 0.7180
```

No. 9
PmBP after structural relaxation. Source: Alexandria via LeMat-Bulk, functional PBE.

Summary:
ΔH_f (0 K), meV per atom: -532
Magnetization, μB/cell: 0.00
Energy above the lowest structure with this stoichiometry, meV/atom: 0
Theoretical density, g/cm³: 6.79
DFT total energy, eV per atom: -6.14

The structure in CIF format:
```
data_PmBP
_chemical_formula_sum 'Pm1 B1 P1'
_cell_length_a 3.5179
_cell_length_b 3.5179
_cell_length_c 4.2599
_cell_angle_alpha 90.00
_cell_angle_beta 90.00
_cell_angle_gamma 120.00
_space_group_name_H-M_alt 'P -6 m 2'
_space_group_IT_number 187
_space_group_name_Hall 'P -6 2'
loop_
_atom_site_label
_atom_site_fract_x
_atom_site_fract_y
_atom_site_fract_z
Pm1 0.0000 0.0000 0.0000
B1 0.6667 0.3333 0.5000
P1 0.3333 0.6667 0.5000
```

No. 10
NaCd5Ga after structural relaxation. Source: Alexandria via LeMat-Bulk, functional PBE.

Summary:
ΔH_f (0 K), meV per atom: 33
Magnetization, μB/cell: 0.00
Theoretical density, g/cm³: 6.29
DFT total energy, eV per atom: -1.24

The structure in CIF format:
```
data_NaCd5Ga
_chemical_formula_sum 'Na2 Cd10 Ga2'
_cell_length_a 5.9626
_cell_length_b 9.2205
_cell_length_c 6.2892
_cell_angle_alpha 90.00
_cell_angle_beta 90.00
_cell_angle_gamma 90.00
_space_group_name_H-M_alt 'C m m m'
_space_group_IT_number 65
_space_group_name_Hall '-C 2 2'
loop_
_atom_site_label
_atom_site_fract_x
_atom_site_fract_y
_atom_site_fract_z
Na1 0.0000 0.0000 0.0000
Cd1 0.0000 0.0000 0.5000
Cd2 0.2500 0.2500 0.2448
Ga1 0.0000 0.5000 0.5000
```